Crystalline LiNd4Zn2 at its relaxed geometry, computed with PBE.

a b c (Å): 9.061 9.061 9.061
angles (deg): 33.30 33.30 33.30
Fractional positions:
1 Li 0.000 0.000 0.000
2 Nd 0.212 0.212 0.212
3 Nd 0.375 0.375 0.375
4 Nd 0.625 0.625 0.625
5 Nd 0.788 0.788 0.788
6 Zn 0.093 0.093 0.093
7 Zn 0.907 0.907 0.907

The polymorph energy (0 for the lowest one) is 65 meV per atom. As for the final energy: -23.51 eV per cell. The calculation puts the formation energy at 3 meV/atom.

***

Crystalline NdY2HoP4 at its relaxed geometry, computed with PBE.

a b c (Å): 7.008 4.049 7.009
angles (deg): 90.00 109.47 90.00
Fractional positions:
1 Nd 0.000 0.000 0.000
2 Y 0.000 0.500 0.500
3 Y 0.500 0.000 0.500
4 Ho 0.500 0.500 0.000
5 P 0.254 0.000 0.748
6 P 0.257 0.500 0.255
7 P 0.743 0.500 0.745
8 P 0.746 0.000 0.252

As for the final energy: -56.66 eV per cell. The calculation puts the formation energy at -1593 meV/atom.

***

Crystalline Pm4AgSn at its relaxed geometry, computed with PBE.

a b c (Å): 11.026 11.026 6.538
angles (deg): 90.00 90.00 150.63
Fractional positions:
1 Pm 0.059 0.941 0.750
2 Pm 0.208 0.792 0.508
3 Pm 0.208 0.792 0.992
4 Pm 0.380 0.620 0.750
5 Pm 0.620 0.380 0.250
6 Pm 0.792 0.208 0.008
7 Pm 0.792 0.208 0.492
8 Pm 0.941 0.059 0.250
9 Ag 0.080 0.920 0.250
10 Ag 0.920 0.080 0.750
11 Sn 0.348 0.652 0.250
12 Sn 0.652 0.348 0.750

As for the final energy: -54.09 eV per cell. The calculation puts the formation energy at -198 meV/atom.

***

Crystalline Tb2GeCl at its relaxed geometry, computed with PBE.

a b c (Å): 7.576 7.576 7.576
angles (deg): 31.31 31.31 31.31
Fractional positions:
1 Tb 0.000 0.000 0.000
2 Tb 0.192 0.192 0.192
3 Ge 0.597 0.597 0.597
4 Cl 0.425 0.425 0.425

Its formation energy from raw total energies is -1129 meV per atom. The polymorph energy (0 for the lowest one) is 69 meV per atom. As for the final energy: -20.24 eV per cell.

***

Crystalline Sc2HIrRh at its relaxed geometry, computed with PBE.

a b c (Å): 4.503 4.503 3.486
angles (deg): 90.00 90.00 90.00
Fractional positions:
1 Sc 0.000 0.500 0.000
2 Sc 0.500 0.000 0.000
3 H 0.000 0.000 0.000
4 Ir 0.500 0.500 0.500
5 Rh 0.000 0.000 0.500

The polymorph energy (0 for the lowest one) is 0 meV per atom. As for the final energy: -36.38 eV per cell.

***

Crystalline Sr2MgCu at its relaxed geometry, computed with PBE.

a b c (Å): 5.656 5.656 3.970
angles (deg): 90.00 90.00 90.00
Fractional positions:
1 Sr 0.000 0.500 0.000
2 Sr 0.500 0.000 0.000
3 Mg 0.000 0.000 0.500
4 Cu 0.500 0.500 0.500

As for the final energy: -8.86 eV per cell. The calculation puts the formation energy at 49 meV/atom.

***

Crystalline Na2PaOsN4 at its relaxed geometry, computed with PBE.

a b c (Å): 5.449 5.449 5.449
angles (deg): 115.42 115.42 98.13
Fractional positions:
1 Na 0.000 0.000 0.000
2 Na 0.750 0.250 0.500
3 Pa 0.500 0.500 0.000
4 Os 0.250 0.750 0.500
5 N 0.138 0.078 0.573
6 N 0.435 0.862 0.941
7 N 0.506 0.565 0.427
8 N 0.922 0.494 0.059

Its formation energy from raw total energies is -289 meV per atom. As for the final energy: -58.98 eV per cell.

***

Crystalline CsCaH2CF at its relaxed geometry, computed with PBE.

a b c (Å): 4.061 4.165 7.002
angles (deg): 74.93 87.95 86.75
Fractional positions:
1 Cs 0.000 0.000 0.000
2 Ca 0.474 0.295 0.502
3 H 0.449 0.550 0.843
4 H 0.805 0.673 0.694
5 C 0.531 0.721 0.700
6 F 0.978 0.364 0.335

The polymorph energy (0 for the lowest one) is 48 meV per atom. As for the final energy: -26.18 eV per cell.

***

Crystalline Zr2Nb2Mo at its relaxed geometry, computed with PBE.

a b c (Å): 6.604 6.604 4.797
angles (deg): 90.00 90.00 90.00
Fractional positions:
1 Zr 0.168 0.332 0.000
2 Zr 0.332 0.832 0.000
3 Zr 0.668 0.168 0.000
4 Zr 0.832 0.668 0.000
5 Nb 0.147 0.647 0.500
6 Nb 0.353 0.147 0.500
7 Nb 0.647 0.853 0.500
8 Nb 0.853 0.353 0.500
9 Mo 0.000 0.000 0.500
10 Mo 0.500 0.500 0.500

As for the final energy: -93.56 eV per cell. The calculation puts the formation energy at 257 meV/atom.

***

Crystalline AsRh at its relaxed geometry, computed with PBE.

a b c (Å): 4.471 2.995 4.630
angles (deg): 90.00 90.00 90.00
Fractional positions:
1 As 0.250 0.000 0.241
2 As 0.750 0.000 0.759
3 Rh 0.250 0.500 0.701
4 Rh 0.750 0.500 0.299

As for the final energy: -24.63 eV per cell. The calculation puts the formation energy at -156 meV/atom.

***

Crystalline Gd3Cd at its relaxed geometry, computed with PBE.

a b c (Å): 6.665 6.665 6.665
angles (deg): 146.59 59.85 131.87
Fractional positions:
1 Gd 0.000 0.000 0.000
2 Gd 0.282 0.503 0.779
3 Gd 0.724 0.503 0.221
4 Cd 0.499 0.999 0.500

The polymorph energy (0 for the lowest one) is 2 meV per atom. As for the final energy: -43.68 eV per cell. The calculation puts the formation energy at -131 meV/atom.

***

Crystalline KCr2Ir at its relaxed geometry, computed with PBE.

a b c (Å): 6.021 6.021 6.021
angles (deg): 155.07 127.65 58.83
Fractional positions:
1 K 0.000 0.000 0.000
2 Cr 0.295 0.795 0.500
3 Cr 0.705 0.205 0.500
4 Ir 0.500 0.500 0.000

The polymorph energy (0 for the lowest one) is 603 meV per atom. As for the final energy: -24.49 eV per cell. The calculation puts the formation energy at 1178 meV/atom.

***

Crystalline GeSb2MoI at its relaxed geometry, computed with PBE.

a b c (Å): 5.170 5.170 5.852
angles (deg): 90.00 90.00 90.00
Fractional positions:
1 Ge 0.000 0.000 0.000
2 Sb 0.000 0.500 0.500
3 Sb 0.500 0.000 0.500
4 Mo 0.500 0.500 0.500
5 I 0.500 0.500 0.000

Its formation energy from raw total energies is 753 meV per atom. The polymorph energy (0 for the lowest one) is 0 meV per atom. As for the final energy: -21.48 eV per cell.

***

Crystalline DyY14Cd at its relaxed geometry, computed with PBE.

a b c (Å): 11.293 7.205 7.205
angles (deg): 60.07 90.00 90.00
Fractional positions:
1 Dy 0.000 0.000 0.000
2 Y 0.000 0.002 0.518
3 Y 0.000 0.518 0.002
4 Y 0.243 0.340 0.838
5 Y 0.243 0.838 0.340
6 Y 0.245 0.340 0.340
7 Y 0.254 0.840 0.840
8 Y 0.500 0.008 0.008
9 Y 0.500 0.008 0.503
10 Y 0.500 0.503 0.008
11 Y 0.500 0.507 0.507
12 Y 0.746 0.840 0.840
13 Y 0.755 0.340 0.340
14 Y 0.757 0.340 0.838
15 Y 0.757 0.838 0.340
16 Cd 0.000 0.506 0.506

As for the final energy: -96.35 eV per cell. The calculation puts the formation energy at -21 meV/atom.

***

Crystalline Na2Ti9O19 at its relaxed geometry, computed with PBE.

a b c (Å): 6.550 6.550 16.002
angles (deg): 103.44 103.44 33.53
Fractional positions:
1 Na 0.000 0.000 0.000
2 Na 0.701 0.701 0.497
3 Ti 0.091 0.091 0.305
4 Ti 0.099 0.099 0.864
5 Ti 0.204 0.204 0.118
6 Ti 0.210 0.210 0.701
7 Ti 0.789 0.789 0.298
8 Ti 0.796 0.796 0.883
9 Ti 0.902 0.902 0.137
10 Ti 0.908 0.908 0.698
11 Ti 0.990 0.990 0.501
12 O 0.050 0.050 0.140
13 O 0.067 0.067 0.740
14 O 0.096 0.096 0.414
15 O 0.146 0.146 0.592
16 O 0.164 0.164 0.005
17 O 0.249 0.249 0.272
18 O 0.263 0.263 0.853
19 O 0.367 0.367 0.127
20 O 0.372 0.372 0.706
21 O 0.504 0.504 0.501
22 O 0.629 0.629 0.297
23 O 0.633 0.633 0.874
24 O 0.737 0.737 0.149
25 O 0.750 0.750 0.727
26 O 0.836 0.836 0.996
27 O 0.853 0.853 0.409
28 O 0.901 0.901 0.587
29 O 0.933 0.933 0.261
30 O 0.950 0.950 0.860

Its formation energy from raw total energies is -2850 meV per atom. The polymorph energy (0 for the lowest one) is 53 meV per atom. As for the final energy: -253.40 eV per cell.

***

Crystalline Tm2Tc3Ni at its relaxed geometry, computed with PBE.

a b c (Å): 5.421 5.421 5.421
angles (deg): 57.08 57.08 57.08
Fractional positions:
1 Tm 0.124 0.124 0.124
2 Tm 0.876 0.876 0.876
3 Tc 0.000 0.500 0.500
4 Tc 0.500 0.000 0.500
5 Tc 0.500 0.500 0.000
6 Ni 0.500 0.500 0.500

As for the final energy: -47.55 eV per cell. The calculation puts the formation energy at -288 meV/atom.

***

Crystalline La8Pm2Pr3 at its relaxed geometry, computed with PBE.

a b c (Å): 11.164 11.164 5.959
angles (deg): 90.03 90.03 40.72
Fractional positions:
1 La 0.099 0.691 0.999
2 La 0.175 0.175 0.502
3 La 0.309 0.901 0.001
4 La 0.364 0.364 0.499
5 La 0.636 0.636 0.501
6 La 0.691 0.099 0.999
7 La 0.825 0.825 0.498
8 La 0.901 0.309 0.001
9 Pm 0.257 0.257 0.002
10 Pm 0.743 0.743 0.998
11 Pr 0.218 0.782 0.500
12 Pr 0.500 0.500 0.000
13 Pr 0.782 0.218 0.500

The polymorph energy (0 for the lowest one) is 45 meV per atom. As for the final energy: -60.97 eV per cell. The calculation puts the formation energy at 176 meV/atom.

***

Crystalline Tm6Zn5Ir at its relaxed geometry, computed with PBE.

a b c (Å): 7.790 7.790 7.007
angles (deg): 90.00 90.00 143.12
Fractional positions:
1 Tm 0.000 0.000 0.240
2 Tm 0.000 0.000 0.760
3 Tm 0.339 0.661 0.245
4 Tm 0.339 0.661 0.755
5 Tm 0.661 0.339 0.245
6 Tm 0.661 0.339 0.755
7 Zn 0.169 0.831 0.500
8 Zn 0.175 0.825 0.000
9 Zn 0.500 0.500 0.500
10 Zn 0.825 0.175 0.000
11 Zn 0.831 0.169 0.500
12 Ir 0.500 0.500 0.000

As for the final energy: -47.92 eV per cell. The calculation puts the formation energy at -488 meV/atom.

***

Crystalline NaGe2Ir at its relaxed geometry, computed with PBE.

a b c (Å): 5.856 5.856 5.856
angles (deg): 42.22 42.22 42.22
Fractional positions:
1 Na 0.000 0.000 0.000
2 Ge 0.212 0.212 0.212
3 Ge 0.788 0.788 0.788
4 Ir 0.500 0.500 0.500

As for the final energy: -19.89 eV per cell. The calculation puts the formation energy at -118 meV/atom.

***

Crystalline LaSb2Te at its relaxed geometry, computed with PBE.

a b c (Å): 4.595 4.307 6.591
angles (deg): 90.00 104.08 90.00
Fractional positions:
1 La 0.000 0.000 0.000
2 Sb 0.434 0.500 0.774
3 Sb 0.566 0.500 0.226
4 Te 0.000 0.000 0.500

Its formation energy from raw total energies is -604 meV per atom. As for the final energy: -18.73 eV per cell.

***

Crystalline Ba3CdAg3 at its relaxed geometry, computed with PBE.

a b c (Å): 6.738 6.738 16.863
angles (deg): 108.97 108.97 42.55
Fractional positions:
1 Ba 0.038 0.038 0.388
2 Ba 0.103 0.103 0.923
3 Ba 0.248 0.248 0.234
4 Ba 0.752 0.752 0.766
5 Ba 0.897 0.897 0.077
6 Ba 0.962 0.962 0.612
7 Cd 0.252 0.252 0.599
8 Cd 0.748 0.748 0.401
9 Ag 0.374 0.374 0.459
10 Ag 0.397 0.397 0.922
11 Ag 0.454 0.454 0.766
12 Ag 0.546 0.546 0.234
13 Ag 0.603 0.603 0.078
14 Ag 0.626 0.626 0.541

The polymorph energy (0 for the lowest one) is 0 meV per atom. As for the final energy: -34.40 eV per cell. The calculation puts the formation energy at -281 meV/atom.

***

Crystalline B5C7 at its relaxed geometry, computed with PBE.

a b c (Å): 2.516 2.516 12.447
angles (deg): 90.00 90.00 90.00
Fractional positions:
1 B 0.000 0.000 0.000
2 B 0.000 0.500 0.725
3 B 0.500 0.000 0.275
4 B 0.500 0.500 0.164
5 B 0.500 0.500 0.836
6 C 0.000 0.000 0.357
7 C 0.000 0.000 0.643
8 C 0.000 0.500 0.086
9 C 0.000 0.500 0.427
10 C 0.500 0.000 0.573
11 C 0.500 0.000 0.914
12 C 0.500 0.500 0.500

The polymorph energy (0 for the lowest one) is 109 meV per atom. As for the final energy: -93.56 eV per cell. The calculation puts the formation energy at 367 meV/atom.

***

Crystalline TbTiSn at its relaxed geometry, computed with PBE.

a b c (Å): 4.277 4.277 7.987
angles (deg): 90.00 90.00 90.00
Fractional positions:
1 Tb 0.250 0.250 0.161
2 Tb 0.750 0.750 0.839
3 Ti 0.250 0.750 0.500
4 Ti 0.750 0.250 0.500
5 Sn 0.250 0.250 0.749
6 Sn 0.750 0.750 0.251

The polymorph energy (0 for the lowest one) is 0 meV per atom. As for the final energy: -36.11 eV per cell. The calculation puts the formation energy at -510 meV/atom.

***

Crystalline Hf5ZrC6 at its relaxed geometry, computed with PBE.

a b c (Å): 5.708 5.708 5.711
angles (deg): 99.61 99.61 119.97
Fractional positions:
1 Hf 0.000 0.000 0.000
2 Hf 0.167 0.833 0.500
3 Hf 0.333 0.667 0.000
4 Hf 0.667 0.333 0.000
5 Hf 0.833 0.167 0.500
6 Zr 0.500 0.500 0.500
7 C 0.081 0.416 0.249
8 C 0.248 0.248 0.752
9 C 0.416 0.081 0.249
10 C 0.584 0.919 0.751
11 C 0.752 0.752 0.248
12 C 0.919 0.584 0.751

As for the final energy: -124.69 eV per cell. The calculation puts the formation energy at -919 meV/atom.